{"formula": "Ba2La3", "functional": "PBEsol", "state": "optimized geometry", "lattice_angstrom": [[3.8081, 0.0000, 0.0000], [1.9041, 3.2979, 0.0000], [1.9041, 1.0993, 15.9687]], "species": ["Ba", "Ba", "La", "La", "La"], "frac_coords": [[0.5987, 0.5987, 0.2038], [0.4013, 0.4013, 0.7962], [0.0000, 0.0000, 0.0000], [0.1961, 0.1961, 0.4116], [0.8039, 0.8039, 0.5884]], "m_tot_mub_per_cell": 0.00, "n_ef_per_ev_cell": 7.3, "total_energy_ev_per_atom": -3.922, "e_form_ev_per_atom": 0.15}